No. 1
Compound: Dy5GaTe2
Source: Alexandria via LeMat-Bulk
Functional: PBE
Structure: relaxed

The calculation puts the formation energy from raw total energies at -0.5524 eV per atom.

a = 5.9962 Å, b = 12.4017 Å, c = 13.4047 Å
α = 90.00°, β = 90.00°, γ = 90.00°
Space group Cmcm (No. 63)
Asymmetric unit:
Dy: 0.0000 0.0583 0.1145
Dy: 0.0000 0.3526 0.7500
Dy: 0.0000 0.3809 0.0726
Ga: 0.0000 0.2395 0.2500
Te: 0.0000 0.1877 0.5798

No. 2
Compound: Dy2GaTe4
Source: Alexandria via LeMat-Bulk
Functional: PBE
Structure: relaxed

The calculation puts the formation energy from raw total energies at -0.9931 eV per atom.

a = 15.7625 Å, b = 4.2954 Å, c = 7.6737 Å
α = 90.00°, β = 117.59°, γ = 90.00°
Space group C2/m (No. 12)
Asymmetric unit:
Dy: 0.2405 0.0000 0.2232
Ga: 0.0000 0.5000 0.5000
Te: 0.1148 0.5000 0.9426
Te: 0.1303 0.0000 0.4714

No. 3
Compound: Dy4GaTe
Source: Alexandria via LeMat-Bulk
Functional: PBE
Structure: relaxed

The calculation puts the formation energy from raw total energies at -0.3838 eV per atom. The excess energy over the best structure of this formula in the dataset is 255.9 meV per atom.

a = 5.8753 Å, b = 8.7210 Å, c = 7.6302 Å
α = 90.00°, β = 106.31°, γ = 90.00°
Space group P2_1/m (No. 11)
Asymmetric unit:
Dy: 0.0294 0.0513 0.2413
Dy: 0.4175 0.2500 0.0076
Dy: 0.4271 0.7500 0.4816
Ga: 0.1283 0.7500 0.0732
Te: 0.1028 0.2500 0.5907

No. 4
Compound: Dy10Ga3Te3
Source: Alexandria via LeMat-Bulk
Functional: PBE
Structure: relaxed

The calculation puts the formation energy from raw total energies at -0.7517 eV per atom.

a = 8.8056 Å, b = 8.8056 Å, c = 6.3491 Å
α = 90.00°, β = 90.00°, γ = 120.00°
Space group P-62m (No. 189)
Asymmetric unit:
Dy: 0.0000 0.2423 0.0000
Dy: 0.0000 0.7599 0.5000
Dy: 0.3333 0.6667 0.2576
Ga: 0.0000 0.3909 0.5000
Te: 0.0000 0.6075 0.0000

No. 5
Compound: Dy4GaTe2
Source: Alexandria via LeMat-Bulk
Functional: PBE
Structure: relaxed

The calculation puts the formation energy from raw total energies at -0.8385 eV per atom.

a = 4.2491 Å, b = 13.8388 Å, c = 14.1447 Å
α = 90.00°, β = 90.00°, γ = 90.00°
Space group Cmcm (No. 63)
Asymmetric unit:
Dy: 0.0000 0.0000 0.0000
Dy: 0.0000 0.2887 0.1316
Dy: 0.0000 0.4716 0.7500
Ga: 0.0000 0.1139 0.7500
Te: 0.0000 0.3586 0.5686

No. 6
Compound: Dy3Ga5Te12
Source: Alexandria via LeMat-Bulk
Functional: PBE
Structure: relaxed

The calculation puts the formation energy from raw total energies at -0.6223 eV per atom.

a = 17.1988 Å, b = 17.1988 Å, c = 17.1988 Å
α = 90.00°, β = 90.00°, γ = 90.00°
Space group Ia-3d (No. 230)
Asymmetric unit:
Dy: 0.0000 0.2500 0.1250
Ga: 0.0000 0.0000 0.0000
Ga: 0.0000 0.2500 0.3750
Te: 0.0239 0.0619 0.6515

No. 7
Compound: Dy3GaTe2
Source: Alexandria via LeMat-Bulk
Functional: PBE
Structure: relaxed

The calculation puts the formation energy from raw total energies at -0.9872 eV per atom. The excess energy over the best structure of this formula in the dataset is 115.2 meV per atom.

a = 6.0364 Å, b = 14.1745 Å, c = 4.5163 Å
α = 90.00°, β = 90.00°, γ = 90.00°
Space group Cmmm (No. 65)
Asymmetric unit:
Dy: 0.0000 0.0000 0.0000
Dy: 0.0000 0.3729 0.5000
Ga: 0.0000 0.5000 0.0000
Te: 0.0000 0.1524 0.5000

No. 8
Compound: Dy4GaTe5
Source: Alexandria via LeMat-Bulk
Functional: PBE
Structure: relaxed

The calculation puts the formation energy from raw total energies at -1.1000 eV per atom.

a = 20.9631 Å, b = 4.2864 Å, c = 8.3891 Å
α = 90.00°, β = 105.83°, γ = 90.00°
Space group C2/m (No. 12)
Asymmetric unit:
Dy: 0.0364 0.0000 0.2667
Dy: 0.1732 0.5000 0.5298
Ga: 0.0000 0.5000 0.5000
Te: 0.0000 0.5000 0.0000
Te: 0.1043 0.0000 0.6832
Te: 0.1837 0.0000 0.2750

No. 9
Compound: Dy4GaTe
Source: Alexandria via LeMat-Bulk
Functional: PBE
Structure: relaxed

The calculation puts the formation energy from raw total energies at -0.6397 eV per atom. The excess energy over the best structure of this formula in the dataset is 0.0 meV per atom.

a = 8.2795 Å, b = 4.1388 Å, c = 19.0954 Å
α = 90.00°, β = 90.00°, γ = 90.00°
Space group Pnma (No. 62)
Asymmetric unit:
Dy: 0.0049 0.2500 0.0675
Dy: 0.0376 0.7500 0.2162
Dy: 0.1404 0.7500 0.4413
Dy: 0.1417 0.7500 0.6501
Ga: 0.2348 0.2500 0.5464
Te: 0.2386 0.2500 0.3123

No. 10
Compound: DyGaTe
Source: Alexandria via LeMat-Bulk
Functional: PBE
Structure: relaxed

The calculation puts the formation energy from raw total energies at -0.8355 eV per atom.

a = 4.2967 Å, b = 4.2967 Å, c = 34.3037 Å
α = 90.00°, β = 90.00°, γ = 120.00°
Space group R-3m (No. 166, hexagonal axes)
Asymmetric unit:
Dy: 0.0000 0.0000 0.0646
Ga: 0.0000 0.0000 0.3386
Te: 0.0000 0.0000 0.2206

No. 11
Compound: Dy3GaTe4
Source: Alexandria via LeMat-Bulk
Functional: PBE
Structure: relaxed

The calculation puts the formation energy from raw total energies at -0.9353 eV per atom.

a = 6.1472 Å, b = 9.7901 Å, c = 9.2105 Å
α = 90.00°, β = 90.00°, γ = 90.00°
Space group Pmmn (No. 59, origin choice 2)
Asymmetric unit:
Dy: 0.2500 0.0472 0.1558
Dy: 0.2500 0.2500 0.7574
Ga: 0.2500 0.7500 0.5912
Te: 0.2500 0.2500 0.4138
Te: 0.2500 0.5490 0.8405
Te: 0.2500 0.7500 0.2532

No. 12
Compound: Dy3GaTe6
Source: Alexandria via LeMat-Bulk
Functional: PBE
Structure: relaxed

The calculation puts the formation energy from raw total energies at -1.0949 eV per atom.

a = 12.0946 Å, b = 14.9498 Å, c = 7.2483 Å
α = 90.00°, β = 90.00°, γ = 90.00°
Space group Cmc2_1 (No. 36)
Asymmetric unit:
Dy: 0.0000 0.0937 0.0000
Dy: 0.1811 0.4035 0.8884
Ga: 0.0000 0.2953 0.3559
Te: 0.0000 0.2785 0.7202
Te: 0.0000 0.4610 0.2050
Te: 0.1641 0.0384 0.6970
Te: 0.1702 0.2304 0.1661

No. 13
Compound: Dy3GaTe2
Source: Alexandria via LeMat-Bulk
Functional: PBE
Structure: relaxed

The calculation puts the formation energy from raw total energies at -1.1024 eV per atom. The excess energy over the best structure of this formula in the dataset is 0.0 meV per atom.

a = 4.2037 Å, b = 6.0825 Å, c = 13.2519 Å
α = 90.00°, β = 90.00°, γ = 90.00°
Space group Immm (No. 71)
Asymmetric unit:
Dy: 0.0000 0.0000 0.0000
Dy: 0.0000 0.0000 0.3481
Ga: 0.0000 0.5000 0.0000
Te: 0.0000 0.5000 0.3270

No. 14
Compound: Dy6GaTe3
Source: Alexandria via LeMat-Bulk
Functional: PBE
Structure: relaxed

The calculation puts the formation energy from raw total energies at -0.8332 eV per atom.

a = 12.0568 Å, b = 4.0170 Å, c = 12.5687 Å
α = 90.00°, β = 104.13°, γ = 90.00°
Space group P2_1/m (No. 11)
Asymmetric unit:
Dy: 0.0117 0.2500 0.3530
Dy: 0.0835 0.2500 0.8870
Dy: 0.2607 0.7500 0.2997
Dy: 0.2914 0.7500 0.7576
Dy: 0.3929 0.2500 0.5425
Dy: 0.4466 0.7500 0.1312
Ga: 0.4584 0.2500 0.3132
Te: 0.1131 0.2500 0.1422
Te: 0.1753 0.7500 0.5104
Te: 0.3406 0.2500 0.9511

No. 15
Compound: Dy4TlGaTe2
Source: Alexandria via LeMat-Bulk
Functional: PBE
Structure: relaxed

The calculation puts the formation energy from raw total energies at -0.8582 eV per atom.

a = 7.1967 Å, b = 4.1565 Å, c = 8.0239 Å
α = 90.00°, β = 107.43°, γ = 90.00°
Space group P2/m (No. 10)
Asymmetric unit:
Dy: 0.2389 0.0000 0.2401
Dy: 0.2430 0.5000 0.7531
Tl: 0.5000 0.0000 0.0000
Ga: 0.0000 0.5000 0.0000
Te: 0.0000 0.0000 0.5000
Te: 0.5000 0.5000 0.5000

No. 16
Compound: Dy8ZnGa3Te4
Source: Alexandria via LeMat-Bulk
Functional: PBE
Structure: relaxed

The calculation puts the formation energy from raw total energies at -0.8900 eV per atom.

a = 8.1904 Å, b = 8.1904 Å, c = 22.6866 Å
α = 90.00°, β = 90.00°, γ = 120.00°
Space group R-3m (No. 166, hexagonal axes)
Asymmetric unit:
Dy: 0.0000 0.0000 0.2448
Dy: 0.0014 0.5007 0.7545
Zn: 0.0000 0.0000 0.5000
Ga: 0.0000 0.5000 0.5000
Te: 0.0000 0.0000 0.0000
Te: 0.0000 0.5000 0.0000

No. 17
Compound: Dy2ThGa2
Source: Alexandria via LeMat-Bulk
Functional: PBE
Structure: relaxed

The value obtained for the formation enthalpy at 0 K is 0.043 eV per atom.

a = 6.2812 Å, b = 11.1040 Å, c = 8.8489 Å
α = 90.00°, β = 110.78°, γ = 90.00°
Space group C2/c (No. 15)
Asymmetric unit:
Dy: 0.0989 0.1266 0.4529
Th: 0.0000 0.3738 0.7500
Ga: 0.0000 0.0966 0.7500
Ga: 0.0000 0.3492 0.2500

Number 1: raw total energy -4.59 eV/atom, V 31.15 Å³ per atom. Number 2: raw total energy -4.54 eV/atom, V 32.89 Å³ per atom. Number 3: raw total energy -4.48 eV/atom, V 31.27 Å³ per atom. Number 4: raw total energy -4.78 eV/atom, V 26.65 Å³ per atom. Number 5: raw total energy -4.80 eV/atom, V 29.71 Å³ per atom. Number 6: raw total energy -3.95 eV/atom, V 31.80 Å³ per atom. Number 7: raw total energy -4.84 eV/atom, V 32.20 Å³ per atom. Number 8: raw total energy -4.81 eV/atom, V 36.26 Å³ per atom. Number 9: raw total energy -4.74 eV/atom, V 27.26 Å³ per atom. Number 10: raw total energy -4.43 eV/atom, V 30.47 Å³ per atom. Number 11: raw total energy -4.61 eV/atom, V 34.64 Å³ per atom. Number 12: raw total energy -4.66 eV/atom, V 32.76 Å³ per atom. Number 13: raw total energy -4.96 eV/atom, V 28.24 Å³ per atom. Number 14: raw total energy -4.84 eV/atom, V 29.52 Å³ per atom. Number 15: raw total energy -4.62 eV/atom, V 28.63 Å³ per atom. Number 16: raw total energy -4.62 eV/atom, V 27.46 Å³ per atom. Number 17: raw total energy -4.49 eV/atom, V 28.85 Å³ per atom.